Sc2CuMoF, optimized geometry, DFT GGA+U; density = 3.66 Mg/m³; space-group type = P4/mmm (123); DFT total energy = -4.86 eV/atom
1.0
4.921 0.000 0.000
0.000 4.921 0.000
0.000 0.000 5.032
Sc Cu Mo F
2 1 1 1
Direct
0.000 0.500 0.000 Sc
0.500 0.000 0.000 Sc
0.000 0.000 0.000 Cu
0.000 0.000 0.500 Mo
0.500 0.500 0.500 F